# 1
A relaxed structure of LuCoSiNi. Source: OQMD, functional PBE.

## Properties
The total magnetization is 6.16 μB/cell. Its total energy is -91.84 eV for the cell shown.

Lattice parameters (Å, degrees): 6.187 6.187 6.187 90.00 90.00 90.00
Space group F-43m (No. 216)
Symmetry-distinct sites (fractional):
Lu: 0.000 0.000 0.000 (multiplicity 4)
Co: 0.250 0.250 0.750 (multiplicity 4)
Si: 0.250 0.250 0.250 (multiplicity 4)
Ni: 0.000 0.000 0.500 (multiplicity 4)



# 2
A relaxed structure of LiZr. Source: OQMD, functional PBE.

## Properties
The total magnetization is 0.07 μB/cell. Its total energy is -119.36 eV for the cell shown.

Lattice parameters (Å, degrees): 6.353 15.216 4.986 90.00 90.00 90.00
Space group Pbcm (No. 57)
Symmetry-distinct sites (fractional):
Li: 0.097 0.025 0.250 (multiplicity 4)
Li: 0.122 0.676 0.250 (multiplicity 4)
Li: 0.358 0.511 0.250 (multiplicity 4)
Zr: 0.133 0.165 0.750 (multiplicity 4)
Zr: 0.356 0.648 0.750 (multiplicity 4)
Zr: 0.397 0.182 0.250 (multiplicity 4)



# 3
A relaxed structure of Tb2TmNiGe3Ir2. Source: OQMD, functional PBE.

## Properties
The total magnetization is 0.00 μB/cell. Its total energy is -116.23 eV for the cell shown.

Lattice parameters (Å, degrees): 3.859 12.172 7.106 90.00 90.00 90.00
Space group Amm2 (No. 38)
Symmetry-distinct sites (fractional):
Tb: 0.000 0.201 0.000 (multiplicity 4)
Tm: 0.000 0.000 0.399 (multiplicity 2)
Ni: 0.000 0.000 0.795 (multiplicity 2)
Ge: 0.500 0.000 0.048 (multiplicity 2)
Ge: 0.500 0.124 0.673 (multiplicity 4)
Ir: 0.500 0.163 0.299 (multiplicity 4)



# 4
A relaxed structure of BaHgO3. Source: OQMD, functional PBE.

## Properties
Its total energy is -124.34 eV for the cell shown.

Lattice parameters (Å, degrees): 6.4550 6.4550 16.2003 90.00 90.00 120.00
Space group R-3c (No. 167, hexagonal axes)
Symmetry-distinct sites (fractional):
Ba: 0.0000 0.0000 0.0000 (multiplicity 6)
Hg: 0.0000 0.0000 0.2500 (multiplicity 6)
O: 0.0000 0.3172 0.2500 (multiplicity 18)



# 5
A relaxed structure of TbHoB2P2Ir2. Source: OQMD, functional PBE.

## Properties
The total magnetization is 0.00 μB/cell. Its total energy is -58.74 eV for the cell shown.

Lattice parameters (Å, degrees): 3.935 3.935 8.326 90.00 90.00 90.00
Space group P4mm (No. 99)
Symmetry-distinct sites (fractional):
Tb: 0.000 0.000 0.000 (multiplicity 1)
Ho: 0.500 0.500 0.390 (multiplicity 1)
B: 0.000 0.000 0.582 (multiplicity 1)
B: 0.500 0.500 0.810 (multiplicity 1)
P: 0.000 0.000 0.343 (multiplicity 1)
P: 0.500 0.500 0.050 (multiplicity 1)
Ir: 0.000 0.500 0.695 (multiplicity 2)



# 6
A relaxed structure of Rb2TcSeS2. Source: OQMD, functional PBE.

## Properties
The total magnetization is 2.00 μB/cell. Its total energy is -57.58 eV for the cell shown.

Lattice parameters (Å, degrees): 7.003 7.580 8.765 74.14 68.64 66.41
Space group P-1 (No. 2)
Symmetry-distinct sites (fractional):
Rb: 0.095 0.183 0.137 (multiplicity 2)
Rb: 0.344 0.569 0.297 (multiplicity 2)
Tc: 0.388 0.046 0.661 (multiplicity 2)
Se: 0.173 0.369 0.720 (multiplicity 2)
S: 0.271 0.963 0.490 (multiplicity 2)
S: 0.383 0.835 0.894 (multiplicity 2)



Q: What is the formula in the fourth record?
A: BaHgO3